Entry 1:
Below is a relaxed Tl3Hg13 crystal, with properties calculated at the PBE-GGA level.

The structure in CIF format:
```
data_Tl3Hg13
_symmetry_space_group_name_H-M 'A m m 2'
_symmetry_Int_Tables_number 38
_symmetry_space_group_name_Hall 'A 2 -2'
_cell_length_a 9.2336
_cell_length_b 9.8236
_cell_length_c 10.1147
_cell_angle_alpha 90.00
_cell_angle_beta 90.00
_cell_angle_gamma 90.00
loop_
_atom_site_label
_atom_site_fract_x
_atom_site_fract_y
_atom_site_fract_z
Tl1 0.0000 0.0000 0.0000
Tl2 0.2627 0.0000 0.2699
Hg1 0.0000 0.0000 0.5137
Hg2 0.0000 0.2471 0.2579
Hg3 0.2472 0.0000 0.7589
Hg4 0.2535 0.2503 0.0151
Hg5 0.5000 0.0000 0.0070
Hg6 0.5000 0.0000 0.5208
Hg7 0.5000 0.2378 0.7638
```

Computed properties:
D(E_F) (states/eV per cell): 8.97
Electronic total energy (eV for the cell shown): -22.6
Calculated density (Mg/m³): 11.66
Spin magnetization (μB per formula unit): 0.0
Relative energy among the computed polymorphs (meV/atom): 10
Energy of formation from the pure elements (eV per atom): -0.02



Entry 2:
Below is a relaxed Ba4ZnCu crystal, with properties calculated at the PBE-GGA level.

The structure in CIF format:
```
data_Ba4ZnCu
_symmetry_space_group_name_H-M 'P 4/m m m'
_symmetry_Int_Tables_number 123
_symmetry_space_group_name_Hall '-P 4 2'
_cell_length_a 4.1138
_cell_length_b 4.1138
_cell_length_c 14.9156
_cell_angle_alpha 90.00
_cell_angle_beta 90.00
_cell_angle_gamma 90.00
loop_
_atom_site_label
_atom_site_fract_x
_atom_site_fract_y
_atom_site_fract_z
Ba1 0.0000 0.0000 0.1248
Ba2 0.5000 0.5000 0.3703
Zn1 0.0000 0.0000 0.5000
Cu1 0.5000 0.5000 0.0000
```

Computed properties:
D(E_F) (states/eV per cell): 6.47
Electronic total energy (eV for the cell shown): -13.3
Calculated density (Mg/m³): 4.46
Spin magnetization (μB per formula unit): 0.0
Relative energy among the computed polymorphs (meV/atom): 0
Energy of formation from the pure elements (eV per atom): -0.05



Entry 3:
Below is a relaxed KPtCl2 crystal, with properties calculated at the PBE-GGA level.

The structure in CIF format:
```
data_KPtCl2
_symmetry_space_group_name_H-M 'C m m m'
_symmetry_Int_Tables_number 65
_symmetry_space_group_name_Hall '-C 2 2'
_cell_length_a 3.9019
_cell_length_b 11.1537
_cell_length_c 7.6204
_cell_angle_alpha 90.00
_cell_angle_beta 90.00
_cell_angle_gamma 90.00
loop_
_atom_site_label
_atom_site_fract_x
_atom_site_fract_y
_atom_site_fract_z
K1 0.0000 0.0000 0.0000
Pt1 0.0000 0.0000 0.5000
Cl1 0.0000 0.5000 0.2960
```

Computed properties:
D(E_F) (states/eV per cell): 0.59
Electronic total energy (eV for the cell shown): -26.2
Calculated density (Mg/m³): 3.06
Formation energy without anion corrections (eV per atom): -0.564
Spin magnetization (μB per formula unit): 1.0
Relative energy among the computed polymorphs (meV/atom): 237



Entry 4:
Below is a relaxed CsRbGe2Ru crystal, with properties calculated at the PBE-GGA level.

The structure in CIF format:
```
data_CsRbGe2Ru
_symmetry_space_group_name_H-M 'P 4/m m m'
_symmetry_Int_Tables_number 123
_symmetry_space_group_name_Hall '-P 4 2'
_cell_length_a 4.8935
_cell_length_b 4.8935
_cell_length_c 6.3635
_cell_angle_alpha 90.00
_cell_angle_beta 90.00
_cell_angle_gamma 90.00
loop_
_atom_site_label
_atom_site_fract_x
_atom_site_fract_y
_atom_site_fract_z
Cs1 0.0000 0.0000 0.0000
Rb1 0.5000 0.5000 0.0000
Ge1 0.0000 0.5000 0.5000
Ru1 0.0000 0.0000 0.5000
```

Computed properties:
D(E_F) (states/eV per cell): 4.09
Electronic total energy (eV for the cell shown): -19.1
Calculated density (Mg/m³): 5.06
Spin magnetization (μB per formula unit): 0.0
Energy of formation from the pure elements (eV per atom): 0.24



Entry 5:
Below is a relaxed Li2Y2TmIn5 crystal, with properties calculated at the PBE-GGA level.

The structure in CIF format:
```
data_Li2Y2TmIn5
_symmetry_space_group_name_H-M 'P 4/m b m'
_symmetry_Int_Tables_number 127
_symmetry_space_group_name_Hall '-P 4 2ab'
_cell_length_a 10.2812
_cell_length_b 10.2812
_cell_length_c 4.4061
_cell_angle_alpha 90.00
_cell_angle_beta 90.00
_cell_angle_gamma 90.00
loop_
_atom_site_label
_atom_site_fract_x
_atom_site_fract_y
_atom_site_fract_z
Li1 0.1195 0.3805 0.0000
Y1 0.1749 0.6749 0.0000
Tm1 0.0000 0.0000 0.0000
In1 0.0000 0.5000 0.5000
In2 0.0735 0.2105 0.5000
```

Computed properties:
D(E_F) (states/eV per cell): 10.38
Electronic total energy (eV for the cell shown): -77.5
Calculated density (Mg/m³): 6.67
Spin magnetization (μB per formula unit): 0.0
Energy of formation from the pure elements (eV per atom): -0.38



Entry 6:
Below is a relaxed BaNpAgTe3 crystal, with properties calculated at the PBE-GGA level.

The structure in CIF format:
```
data_BaNpAgTe3
_symmetry_space_group_name_H-M 'P 1 21/m 1'
_symmetry_Int_Tables_number 11
_symmetry_space_group_name_Hall '-P 2yb'
_cell_length_a 9.3423
_cell_length_b 4.5588
_cell_length_c 10.1456
_cell_angle_alpha 90.00
_cell_angle_beta 105.38
_cell_angle_gamma 90.00
loop_
_atom_site_label
_atom_site_fract_x
_atom_site_fract_y
_atom_site_fract_z
Ba1 0.1957 0.2500 0.2470
Np1 0.3244 0.7500 0.8421
Ag1 0.0817 0.2500 0.5851
Te1 0.1029 0.2500 0.8712
Te2 0.2445 0.7500 0.5243
Te3 0.4461 0.7500 0.1622
```

Computed properties:
D(E_F) (states/eV per cell): 19.95
Electronic total energy (eV for the cell shown): -65.3
Calculated density (Mg/m³): 6.90
Formation energy without anion corrections (eV per atom): -0.920
Spin magnetization (μB per formula unit): 4.0